Computed, not measured: a relaxed NbMoPCl2 crystal at the GGA-PBE level of DFT.

## Properties
**Energy above the most stable polymorph in this dataset**: 191 meV per atom
**Total magnetization**: 0.9843 μB per atom
**Formation energy without anion corrections**: 0.69 eV per atom

Structure (POSCAR):
```
NbMoPCl2
1.0
4.7485 0.0000 0.0000
0.0000 4.7485 0.0000
0.0000 0.0000 4.8784
Nb Mo P Cl
1 1 1 2
Direct
0.0000 0.0000 0.0000
0.5000 0.5000 0.5000
0.5000 0.5000 0.0000
0.0000 0.5000 0.5000
0.5000 0.0000 0.5000
```